Entry from the Alexandria database: a relaxed YErH crystal (PBE).

The structure in POSCAR format:
```
YErH
1.0
3.617 -0.233 -0.261
0.401 6.306 -0.077
0.416 0.019 5.737
Y H Er
2 2 2
direct
0.411 0.666 0.000
0.911 0.493 0.483
0.911 0.161 0.596
0.911 0.490 0.092
0.411 0.993 0.502
0.911 0.160 0.982
```

Computed properties:
distance to the lowest polymorph of the same formula: 0 meV/atom
final energy: -5.125 eV per atom
SG: Pm (6)



Entry from the Alexandria database: a relaxed YErH4 crystal (PBE).

The structure in POSCAR format:
```
YErH4
1.0
4.682 0.000 -2.106
-0.947 4.585 -2.106
0.031 0.038 6.327
Y Er H
2 2 8
direct
0.000 0.000 0.000
0.750 0.250 0.500
0.250 0.750 0.500
0.500 0.500 0.000
0.129 0.125 0.750
0.875 0.871 0.250
0.129 0.625 0.750
0.375 0.379 0.250
0.621 0.125 0.750
0.621 0.625 0.750
0.375 0.871 0.250
0.875 0.379 0.250
```

Computed properties:
final energy: -4.787 eV per atom
SG: I4_1/amd (141)



Entry from the Alexandria database: a relaxed YEr2H crystal (PBE).

The structure in POSCAR format:
```
YEr2H
1.0
3.580 0.000 0.000
1.790 3.100 0.000
1.790 1.033 8.399
Y H Er
1 1 2
direct
0.500 0.500 0.500
0.000 0.000 0.000
0.280 0.280 0.160
0.720 0.720 0.840
```

Computed properties:
distance to the lowest polymorph of the same formula: 0 meV/atom
final energy: -4.927 eV per atom
SG: R-3m (166)



Entry from the Alexandria database: a relaxed Y5Er3H12 crystal (PBE).

The structure in POSCAR format:
```
Y5Er3H12
1.0
11.269 0.000 0.000
-3.756 10.625 0.000
-3.756 -5.312 9.201
Er Y H
12 20 48
direct
0.750 0.375 0.125
0.875 0.750 0.125
0.375 0.750 0.625
0.250 0.125 0.375
0.875 0.125 0.250
0.375 0.625 0.250
0.625 0.375 0.750
0.125 0.875 0.750
0.750 0.875 0.625
0.625 0.250 0.375
0.125 0.250 0.875
0.250 0.625 0.875
0.125 0.375 0.250
0.000 0.500 0.000
0.000 0.000 0.000
0.375 0.250 0.125
0.500 0.000 0.500
0.500 0.500 0.000
0.125 0.750 0.375
0.750 0.125 0.875
0.750 0.625 0.375
0.375 0.125 0.750
0.625 0.875 0.250
0.500 0.500 0.500
0.500 0.000 0.000
0.000 0.000 0.500
0.250 0.375 0.625
0.250 0.875 0.125
0.000 0.500 0.500
0.875 0.250 0.625
0.625 0.750 0.875
0.875 0.625 0.750
0.724 0.156 0.067
0.343 0.567 0.410
0.933 0.344 0.276
0.567 0.224 0.156
0.567 0.724 0.657
0.933 0.590 0.157
0.343 0.776 0.433
0.090 0.933 0.156
0.590 0.933 0.657
0.724 0.567 0.157
0.776 0.433 0.344
0.843 0.910 0.067
0.156 0.724 0.567
0.344 0.410 0.067
0.067 0.910 0.344
0.433 0.156 0.590
0.067 0.157 0.224
0.433 0.657 0.090
0.843 0.933 0.276
0.156 0.433 0.090
0.344 0.933 0.776
0.590 0.656 0.433
0.910 0.843 0.567
0.776 0.343 0.933
0.410 0.344 0.567
0.090 0.157 0.433
0.224 0.657 0.067
0.157 0.067 0.724
0.656 0.067 0.224
0.844 0.567 0.910
0.567 0.343 0.910
0.567 0.844 0.410
0.933 0.843 0.776
0.933 0.090 0.656
0.844 0.276 0.433
0.157 0.090 0.933
0.656 0.590 0.933
0.410 0.067 0.343
0.276 0.433 0.843
0.224 0.567 0.656
0.910 0.067 0.844
0.657 0.224 0.567
0.433 0.776 0.844
0.067 0.410 0.843
0.433 0.276 0.343
0.067 0.656 0.724
0.657 0.433 0.590
0.276 0.844 0.933
```

Computed properties:
final energy: -4.793 eV per atom
SG: Ia-3d (230)



Entry from the Alexandria database: a relaxed Y3ErH crystal (PBE).

The structure in POSCAR format:
```
Y3ErH
1.0
-2.768 -3.905 1.446
0.127 -1.815 -4.657
4.162 -2.542 1.104
Y H Er
3 1 1
direct
0.000 0.500 0.000
0.000 0.000 0.500
0.500 0.000 0.000
0.000 0.000 0.000
0.500 0.500 0.500
```

Computed properties:
final energy: -5.615 eV per atom
SG: Pm-3m (221)



Entry from the Alexandria database: a relaxed YErH crystal (PBE).

The structure in POSCAR format:
```
YErH
1.0
3.336 0.000 0.000
0.000 3.336 0.000
-1.668 -1.668 6.051
Y H Er
1 1 1
direct
0.745 0.745 0.490
0.219 0.219 0.437
0.036 0.036 0.072
```

Computed properties:
distance to the lowest polymorph of the same formula: 218 meV/atom
final energy: -4.907 eV per atom
SG: I4mm (107)



Entry from the Alexandria database: a relaxed YErH crystal (PBE).

The structure in POSCAR format:
```
YErH
1.0
-3.339 0.429 1.303
2.577 -1.440 2.077
1.361 5.060 1.821
Y H Er
1 1 1
direct
0.000 0.000 0.088
0.667 0.333 0.335
0.333 0.667 0.577
```

Computed properties:
distance to the lowest polymorph of the same formula: 81 meV/atom
final energy: -5.044 eV per atom
SG: P3m1 (156)



Entry from the Alexandria database: a relaxed YErH crystal (PBE).

The structure in POSCAR format:
```
YErH
1.0
3.719 0.000 -0.007
1.858 3.219 -0.009
0.009 0.008 5.433
Y Er H
1 1 1
direct
0.973 0.006 0.943
0.307 0.339 0.443
0.974 0.006 0.443
```

Computed properties:
distance to the lowest polymorph of the same formula: 30 meV/atom
final energy: -5.095 eV per atom
SG: P-6m2 (187)



Entry from the Alexandria database: a relaxed YEr3H8 crystal (PBE).

The structure in POSCAR format:
```
YEr3H8
1.0
-2.147 2.260 4.068
-4.177 -2.910 -0.587
2.051 -3.562 3.061
Y Er H
1 3 8
direct
0.000 0.000 0.000
0.500 0.500 0.000
0.500 0.000 0.500
0.000 0.500 0.500
0.252 0.252 0.748
0.252 0.748 0.252
0.748 0.252 0.252
0.748 0.748 0.748
0.748 0.748 0.252
0.748 0.252 0.748
0.252 0.748 0.748
0.252 0.252 0.252
```

Computed properties:
final energy: -4.638 eV per atom
SG: Pm-3m (221)



Entry from the Alexandria database: a relaxed YEr2H crystal (PBE).

The structure in POSCAR format:
```
YEr2H
1.0
3.330 0.000 0.000
0.000 3.330 0.000
0.000 0.000 8.418
Y H Er
1 1 2
direct
0.500 0.500 0.500
0.500 0.500 0.000
0.000 0.000 0.809
0.000 0.000 0.191
```

Computed properties:
distance to the lowest polymorph of the same formula: 318 meV/atom
final energy: -4.609 eV per atom
SG: P4/mmm (123)



Entry from the Alexandria database: a relaxed Y3ErH8 crystal (PBE).

The structure in POSCAR format:
```
Y3ErH8
1.0
5.168 0.000 0.000
0.000 5.168 0.000
0.000 0.000 5.168
Y Er H
3 1 8
direct
0.500 0.500 0.000
0.500 0.000 0.500
0.000 0.500 0.500
0.000 0.000 0.000
0.248 0.248 0.752
0.248 0.752 0.248
0.752 0.248 0.248
0.752 0.752 0.752
0.752 0.752 0.248
0.752 0.248 0.752
0.248 0.752 0.752
0.248 0.248 0.248
```

Computed properties:
final energy: -4.958 eV per atom
SG: Pm-3m (221)



Entry from the Alexandria database: a relaxed Er3ZnH crystal (PBE).

The structure in POSCAR format:
```
Er3ZnH
1.0
4.718 0.000 0.000
0.000 4.718 0.000
0.000 0.000 4.718
H Zn Er
1 1 3
direct
0.000 0.000 0.000
0.500 0.500 0.500
0.000 0.500 0.000
0.000 0.000 0.500
0.500 0.000 0.000
```

Computed properties:
final energy: -3.822 eV per atom
SG: Pm-3m (221)



Among the records above, which one has the highest final energy? Er3ZnH